# 1
First-principles (GGA-PBE) data for HfZnS3 after structural relaxation, as listed in Alexandria.

The space group is Pm-3m (No. 221) and the conventional cell measures 4.553, 4.553 and 4.553 Å, with angles of 90.00, 90.00 and 90.00 degrees. The distinct sites, in fractional coordinates, are Hf at (0.000, 0.000, 0.000), Zn at (0.500, 0.500, 0.500) and S at (0.000, 0.500, 0.500).

The value obtained for the formation energy from raw total energies is 0.105 eV per atom. The calculation puts the energy above the most stable polymorph in this dataset at 1.148 eV/atom. The calculation puts the calculated volume at 94.4 Å³/cell. For the magnetization, the calculation gives 0.00 μB/f.u.

# 2
First-principles (GGA-PBE) data for Ce2CdSe2N2 after structural relaxation, as listed in Alexandria.

The space group is C2/m (No. 12) and the conventional cell measures 11.745, 3.922 and 7.224 Å, with angles of 90.00, 121.83 and 90.00 degrees. The distinct sites, in fractional coordinates, are Ce at (0.193, 0.000, 0.259), Cd at (0.000, 0.000, 0.500), Se at (0.068, 0.500, 0.844) and N at (0.212, 0.000, 0.589).

The value obtained for the formation energy from raw total energies is -1.235 eV per atom. The calculation puts the calculated volume at 282.7 Å³/cell. For the magnetization, the calculation gives 0.00 μB/f.u.

# 3
First-principles (GGA-PBE) data for LaDyInPd after structural relaxation, as listed in Alexandria.

The space group is F-43m (No. 216) and the conventional cell measures 7.494, 7.494 and 7.494 Å, with angles of 90.00, 90.00 and 90.00 degrees. The distinct sites, in fractional coordinates, are La at (0.000, 0.000, 0.000), Dy at (0.000, 0.000, 0.500), In at (0.250, 0.250, 0.250) and Pd at (0.250, 0.250, 0.750).

The calculation puts the calculated volume at 420.9 Å³/cell. For the magnetization, the calculation gives 0.00 μB/f.u. Its formation energy is -0.553 eV/atom.

# 4
First-principles (GGA-PBE) data for Mn2TlBr8 after structural relaxation, as listed in Alexandria.

The space group is C2/m (No. 12) and the conventional cell measures 12.875, 7.085 and 11.273 Å, with angles of 90.00, 119.65 and 90.00 degrees. The distinct sites, in fractional coordinates, are Mn at (0.108, 0.000, 0.192), Tl at (0.000, 0.000, 0.500), Br at (0.090, 0.260, 0.315), Br at (0.113, 0.000, 0.972) and Br at (0.182, 0.500, 0.695).

The value obtained for the formation energy from raw total energies is -0.593 eV per atom. The calculation puts the calculated volume at 893.6 Å³/cell. For the magnetization, the calculation gives 7.00 μB/f.u.

> magnetization of number 3 (LaDyInPd)?

0.00 μB/f.u.

> Which value of magnetization does entry 2 give?

0.00 μB/f.u.

Please write out number 1 again, unchanged.
First-principles (GGA-PBE) data for HfZnS3 after structural relaxation, as listed in Alexandria.

The space group is Pm-3m (No. 221) and the conventional cell measures 4.553, 4.553 and 4.553 Å, with angles of 90.00, 90.00 and 90.00 degrees. The distinct sites, in fractional coordinates, are Hf at (0.000, 0.000, 0.000), Zn at (0.500, 0.500, 0.500) and S at (0.000, 0.500, 0.500).

The value obtained for the formation energy from raw total energies is 0.105 eV per atom. The calculation puts the energy above the most stable polymorph in this dataset at 1.148 eV/atom. The calculation puts the calculated volume at 94.4 Å³/cell. For the magnetization, the calculation gives 0.00 μB/f.u.